[1]
## KTcRh2 (PBE-GGA)

Data for a relaxed structure of KTcRh2.

Properties
The total magnetization comes out at 0.0000 μB/atom. As for the space group: No. 44. The final energy comes out at -5.81 eV/atom. Its energy above the most stable polymorph in this dataset is 402.7 meV per atom. The value obtained for the formation enthalpy at 0 K is 0.736 eV per atom.

Unit cell a=5.936 b=5.936 c=5.936 alpha=153.22 beta=130.95 gamma=56.76
Fractional positions:
K: 0.000 0.000 0.000
Tc: 0.718 0.218 0.500
Rh: 0.284 0.784 0.500
Rh: 0.514 0.514 0.000



[2]
## LuH2Pt (PBE-GGA)

Data for a relaxed structure of LuH2Pt.

Properties
The total magnetization comes out at 0.0000 μB/atom. As for the space group: No. 166. The final energy comes out at -4.98 eV/atom.

Unit cell a=4.352 b=4.352 c=4.352 alpha=54.69 beta=54.69 gamma=54.69
Fractional positions:
Lu: 0.000 0.000 0.000
H: 0.349 0.349 0.349
H: 0.651 0.651 0.651
Pt: 0.500 0.500 0.500



[3]
## Dy4Tl2Bi (PBE-GGA)

Data for a relaxed structure of Dy4Tl2Bi.

Properties
The total magnetization comes out at 0.0000 μB/atom. As for the space group: No. 11. The final energy comes out at -4.20 eV/atom. The value obtained for the formation enthalpy at 0 K is -0.339 eV per atom.

Unit cell a=5.841 b=6.612 c=10.902 alpha=90.00 beta=104.44 gamma=90.00
Fractional positions:
Dy: 0.066 0.250 0.141
Dy: 0.209 0.750 0.445
Dy: 0.375 0.007 0.735
Dy: 0.375 0.493 0.735
Dy: 0.625 0.507 0.265
Dy: 0.625 0.993 0.265
Dy: 0.791 0.250 0.555
Dy: 0.934 0.750 0.859
Tl: 0.235 0.250 0.441
Tl: 0.497 0.750 0.995
Tl: 0.503 0.250 0.005
Tl: 0.765 0.750 0.559
Bi: 0.074 0.750 0.160
Bi: 0.926 0.250 0.840



[4]
## SbTe4Pb5 (PBE-GGA)

Data for a relaxed structure of SbTe4Pb5.

Properties
The total magnetization comes out at 0.0000 μB/atom. As for the space group: No. 139. The final energy comes out at -3.81 eV/atom. The value obtained for the uncorrected formation energy is -0.29 eV per atom.

Unit cell a=16.759 b=16.759 c=16.759 alpha=164.26 beta=164.26 gamma=22.33
Fractional positions:
Sb: 0.000 0.000 0.000
Te: 0.200 0.200 0.000
Te: 0.400 0.400 0.000
Te: 0.600 0.600 0.000
Te: 0.800 0.800 0.000
Pb: 0.099 0.099 0.000
Pb: 0.299 0.299 0.000
Pb: 0.500 0.500 0.000
Pb: 0.701 0.701 0.000
Pb: 0.901 0.901 0.000



Q: Number 4 is which compound?
A: SbTe4Pb5